<A>
TmBeRu | PBE | optimized geometry

Geometry as CIF:
```
data_TmBeRu
_chemical_formula_sum 'Tm1 Be1 Ru1'
_space_group_name_H-M_alt 'P 1'
_space_group_IT_number 1
_cell_length_a 3.2004
_cell_length_b 3.2004
_cell_length_c 5.2095
_cell_angle_alpha 107.89
_cell_angle_beta 107.89
_cell_angle_gamma 90.00
loop_
_space_group_symop_operation_xyz
'x,y,z'
loop_
_atom_site_label
_atom_site_fract_x
_atom_site_fract_y
_atom_site_fract_z
_atom_site_occupancy
Tm1 0.9965 0.9965 0.9930 1
Ru1 0.2931 0.2931 0.5862 1
Be1 0.7104 0.7104 0.4208 1
```

Summary:
Size of the total moment = 0.000 μB/cell
Mass density = 9.6 g cm⁻³

=====

<B>
TmBeRu | PBE | optimized geometry

Geometry as CIF:
```
data_TmBeRu
_chemical_formula_sum 'Tm2 Be2 Ru2'
_space_group_name_H-M_alt 'P 1'
_space_group_IT_number 1
_cell_length_a 5.0954
_cell_length_b 5.0867
_cell_length_c 5.0867
_cell_angle_alpha 62.63
_cell_angle_beta 59.94
_cell_angle_gamma 59.94
loop_
_space_group_symop_operation_xyz
'x,y,z'
loop_
_atom_site_label
_atom_site_fract_x
_atom_site_fract_y
_atom_site_fract_z
_atom_site_occupancy
Be1 0.0000 0.0000 0.0000 1
Be2 0.5000 0.0000 0.0000 1
Tm1 0.1282 0.6218 0.6218 1
Tm2 0.8718 0.3782 0.3782 1
Ru1 0.5000 0.0000 0.5000 1
Ru2 0.5000 0.5000 0.0000 1
```

Summary:
Size of the total moment = 0.000 μB/cell
Mass density = 9.8 g cm⁻³

=====

Stability verdict: <B>, ahead by 21 meV per atom

=====

<A>
UBeRu2 | PBE | optimized geometry

Geometry as CIF:
```
data_UBeRu2
_chemical_formula_sum 'U1 Be1 Ru2'
_space_group_name_H-M_alt 'P 1'
_space_group_IT_number 1
_cell_length_a 2.9719
_cell_length_b 2.9719
_cell_length_c 6.5725
_cell_angle_alpha 90.00
_cell_angle_beta 90.00
_cell_angle_gamma 90.00
loop_
_space_group_symop_operation_xyz
'x,y,z'
loop_
_atom_site_label
_atom_site_fract_x
_atom_site_fract_y
_atom_site_fract_z
_atom_site_occupancy
Ru1 0.0000 0.0000 0.2023 1
Ru2 0.0000 0.0000 0.7977 1
U1 0.5000 0.5000 0.5000 1
Be1 0.5000 0.5000 0.0000 1
```

Summary:
Size of the total moment = 0.001 μB/cell
Mass density = 12.8 g cm⁻³

=====

<B>
UBeRu2 | PBE | optimized geometry

Geometry as CIF:
```
data_UBeRu2
_chemical_formula_sum 'U1 Be1 Ru2'
_space_group_name_H-M_alt 'P 1'
_space_group_IT_number 1
_cell_length_a 2.8893
_cell_length_b 2.8893
_cell_length_c 8.1685
_cell_angle_alpha 79.81
_cell_angle_beta 79.81
_cell_angle_gamma 60.00
loop_
_space_group_symop_operation_xyz
'x,y,z'
loop_
_atom_site_label
_atom_site_fract_x
_atom_site_fract_y
_atom_site_fract_z
_atom_site_occupancy
Ru1 0.2665 0.2665 0.2006 1
Ru2 0.7335 0.7335 0.7994 1
U1 0.5000 0.5000 0.5000 1
Be1 0.0000 0.0000 0.0000 1
```

Summary:
Size of the total moment = 0.003 μB/cell
Mass density = 12.9 g cm⁻³

=====

Stability verdict: <A>, ahead by 211 meV per atom